Material: PmSc2Tl
Method: DFT, PBE
State: relaxed

- E (eV per atom) = -5.1300
- energy relative to the lowest polymorph listed for this composition (meV/atom) = 0.0
- space group = P2_1/m (11)
- ΔH_f (0 K) (meV/atom) = -185

a b c (Å): 4.6481 4.5274 10.6988
angles (deg): 102.18 90.00 90.00
Fractional positions:
Sc 0.7500 0.4473 0.8939
Tl 0.2500 0.1553 0.3128
Tl 0.7500 0.8447 0.6872
Pm 0.2500 0.3119 0.6219
Sc 0.2500 0.5527 0.1061
Pm 0.7500 0.6881 0.3781
Sc 0.7500 0.0593 0.1194
Sc 0.2500 0.9407 0.8806